GGA-PBE RbNaBiH2, relaxed; E = -2.051 eV/atom; calculated volume = 31.42 Å³ per atom; D(E_F) = 2.52 states/eV per cell
1.0
-3.0447 0.8618 -3.3866
-3.9166 -5.8303 2.0375
-2.4598 2.6620 2.8889
H Rb Bi Na
2 1 1 1
Cartesian
-1.2299 1.3310 1.4445
-1.5224 0.4309 -1.6933
-1.9583 -2.9152 1.0187
0.0000 0.0000 0.0000
-4.7106 -1.1533 0.7699

***

GGA-PBE NaBiHS2, relaxed; calculated volume = 22.45 Å³ per atom; D(E_F) = 2.36 states/eV per cell; offset from the most stable computed form = 0.000 eV/atom
1.0
3.8548 0.0000 0.0000
0.0000 7.1178 -0.4475
0.0000 -2.7670 8.3553
Bi S H Na
2 4 2 2
Cartesian
1.8130 -0.6917 2.0888
2.0418 -2.0752 6.2665
0.8288 1.3831 0.3922
3.0261 2.9678 7.5156
0.8288 4.3512 3.3379
3.0261 -0.0004 4.5699
0.0000 -1.3835 4.1777
0.0000 0.0000 0.0000
1.0454 1.4837 6.0427
2.8094 2.8672 1.8651

***

GGA-PBE NaBiHS2, relaxed; calculated volume = 19.24 Å³ per atom; D(E_F) = 3.27 states/eV per cell; offset from the most stable computed form = 0.427 eV/atom
1.0
-3.2818 3.7318 0.3887
-2.6993 -2.1971 -1.6969
-1.4149 -1.7093 4.4637
H Na Bi S
1 1 1 2
Cartesian
0.0000 0.0000 0.0000
-3.6980 -0.0873 1.5777
-1.3497 -1.0985 -0.8485
-0.7074 -0.8546 2.2318
-1.6409 1.8659 0.1944

***

GGA-PBE NaBiSb2H, relaxed; E = -2.224 eV/atom; calculated volume = 32.76 Å³ per atom; D(E_F) = 3.29 states/eV per cell
1.0
-3.2151 3.9869 -1.8314
-1.1027 -2.9736 -4.5377
-4.2515 -2.2704 2.5210
Na Bi Sb H
1 1 2 1
Cartesian
0.0000 0.0000 0.0000
-0.5513 -1.4868 -2.2688
-1.6075 1.9934 -0.9157
-2.1258 -1.1352 1.2605
-4.2846 -0.6286 -1.9240

***

GGA-PBE NaSc2BiH, relaxed; E = -4.520 eV/atom; calculated volume = 19.37 Å³ per atom; D(E_F) = 3.88 states/eV per cell
1.0
-3.4714 1.9383 2.1669
-0.6530 -3.8085 2.3604
2.9550 1.5616 3.3371
Sc Na H Bi
2 1 1 1
Cartesian
-1.7357 0.9691 1.0835
-0.3265 -1.9043 1.1802
1.4775 0.7808 1.6686
0.0000 0.0000 0.0000
-0.5847 -0.1543 3.9322

***

GGA-PBE NaBiHSe2, relaxed; E = -3.412 eV/atom; calculated volume = 24.27 Å³ per atom; D(E_F) = 1.38 states/eV per cell
1.0
-4.1037 0.7693 0.6760
-0.6983 -6.2971 2.9270
2.2310 6.9855 5.5945
Se H Bi Na
4 2 2 2
Cartesian
-2.3948 2.6494 4.0072
1.3037 5.6580 6.3790
-0.1762 -1.1917 5.1902
-3.8747 -4.2003 2.8184
0.0000 0.0000 0.0000
1.1155 3.4927 2.7972
-0.8917 5.7199 4.6184
-0.9810 2.0348 1.6521
-2.6191 -0.8721 3.3279
0.0481 2.3298 5.8695

***

GGA-PBE Na2SnBiH, relaxed; calculated volume = 22.39 Å³ per atom; D(E_F) = 1.00 states/eV per cell; offset from the most stable computed form = 0.000 eV/atom
1.0
-0.9735 4.6692 -0.1352
-4.5204 -0.9069 1.2291
1.2130 0.3905 4.7494
Na Sn H Bi
2 1 1 1
Cartesian
-0.4868 2.3346 -0.0676
-2.2602 -0.4535 0.6145
0.6065 0.1952 2.3747
0.0000 0.0000 0.0000
-2.1405 2.0764 2.9216

***

GGA-PBE Na2SnBiH, relaxed; calculated volume = 22.57 Å³ per atom; D(E_F) = 0.64 states/eV per cell; offset from the most stable computed form = 0.068 eV/atom
1.0
4.8170 0.0000 0.0000
0.0000 4.8170 0.0000
0.0000 0.0000 4.8633
Na Sn Bi H
2 1 1 1
Cartesian
2.4085 0.0000 0.0000
0.0000 2.4085 0.0000
2.4085 2.4085 2.4317
0.0000 0.0000 2.4317
0.0000 0.0000 0.0000